1.
V4GeC | PBE | relaxed

The structure in CIF format:
```
data_V4GeC
_cell_length_a 5.262
_cell_length_b 5.270
_cell_length_c 5.805
_cell_angle_alpha 90.00
_cell_angle_beta 99.96
_cell_angle_gamma 90.00
_space_group_name_H-M_alt 'P 1 21/c 1'
_space_group_IT_number 14
loop_
_space_group_symop_operation_xyz
'x,y,z'
'-x,-y,-z'
'-x,y+1/2,-z+1/2'
'x,-y+1/2,z+1/2'
loop_
_atom_site_label
_atom_site_type_symbol
_atom_site_fract_x
_atom_site_fract_y
_atom_site_fract_z
V1 V 0.091 0.163 0.196
V2 V 0.346 0.610 0.107
Ge1 Ge 0.500 0.000 0.000
C1 C 0.000 0.000 0.500
```

***

2.
V6Ge2C | PBE | relaxed

The structure in CIF format:
```
data_V6Ge2C
_cell_length_a 5.045
_cell_length_b 6.081
_cell_length_c 9.189
_cell_angle_alpha 90.00
_cell_angle_beta 122.01
_cell_angle_gamma 90.00
_space_group_name_H-M_alt 'P 1 21/c 1'
_space_group_IT_number 14
loop_
_space_group_symop_operation_xyz
'x,y,z'
'-x,-y,-z'
'-x,y+1/2,-z+1/2'
'x,-y+1/2,z+1/2'
loop_
_atom_site_label
_atom_site_type_symbol
_atom_site_fract_x
_atom_site_fract_y
_atom_site_fract_z
V1 V 0.114 0.170 0.462
V2 V 0.297 0.696 0.459
V3 V 0.341 0.002 0.245
Ge1 Ge 0.190 0.109 0.758
C1 C 0.500 0.000 0.500
```

***

3.
V3GeC | PBE | relaxed

The structure in CIF format:
```
data_V3GeC
_cell_length_a 5.405
_cell_length_b 11.621
_cell_length_c 3.978
_cell_angle_alpha 90.00
_cell_angle_beta 90.00
_cell_angle_gamma 90.00
_space_group_name_H-M_alt 'C m m m'
_space_group_IT_number 65
_space_group_name_Hall '-C 2 2'
loop_
_atom_site_label
_atom_site_type_symbol
_atom_site_fract_x
_atom_site_fract_y
_atom_site_fract_z
V1 V 0.000 0.132 0.000
V2 V 0.242 0.500 0.500
V3 V 0.250 0.250 0.500
Ge1 Ge 0.000 0.370 0.000
C1 C 0.000 0.121 0.500
```

***

4.
V4GeC2 | PBE | relaxed

The structure in CIF format:
```
data_V4GeC2
_cell_length_a 2.9338
_cell_length_b 2.9338
_cell_length_c 32.7901
_cell_angle_alpha 90.00
_cell_angle_beta 90.00
_cell_angle_gamma 120.00
_space_group_name_H-M_alt 'R -3 m'
_space_group_IT_number 166
_space_group_name_Hall '-R 3 2"'
loop_
_atom_site_label
_atom_site_type_symbol
_atom_site_fract_x
_atom_site_fract_y
_atom_site_fract_z
V1 V 0.0000 0.0000 0.1321
V2 V 0.0000 0.0000 0.2691
Ge1 Ge 0.0000 0.0000 0.0000
C1 C 0.0000 0.0000 0.4317
```

***

5.
Y2V2Ge2C | PBE | relaxed

The structure in CIF format:
```
data_Y2V2Ge2C
_cell_length_a 4.053
_cell_length_b 4.053
_cell_length_c 14.911
_cell_angle_alpha 90.00
_cell_angle_beta 90.00
_cell_angle_gamma 90.00
_space_group_name_H-M_alt 'I 4/m m m'
_space_group_IT_number 139
_space_group_name_Hall '-I 4 2'
loop_
_atom_site_label
_atom_site_type_symbol
_atom_site_fract_x
_atom_site_fract_y
_atom_site_fract_z
Y1 Y 0.000 0.000 0.166
V1 V 0.000 0.500 0.000
Ge1 Ge 0.000 0.000 0.379
C1 C 0.000 0.000 0.000
```

***

6.
GeWC3 | PBE | relaxed

The structure in CIF format:
```
data_GeWC3
_cell_length_a 4.128
_cell_length_b 4.128
_cell_length_c 4.128
_cell_angle_alpha 90.00
_cell_angle_beta 90.00
_cell_angle_gamma 90.00
_space_group_name_H-M_alt 'P m -3 m'
_space_group_IT_number 221
_space_group_name_Hall '-P 4 2 3'
loop_
_atom_site_label
_atom_site_type_symbol
_atom_site_fract_x
_atom_site_fract_y
_atom_site_fract_z
Ge1 Ge 0.000 0.000 0.000
W1 W 0.500 0.500 0.500
C1 C 0.000 0.500 0.500
```

***

7.
GeWC3 | PBE | relaxed

The structure in CIF format:
```
data_GeWC3
_cell_length_a 3.836
_cell_length_b 3.836
_cell_length_c 3.836
_cell_angle_alpha 90.00
_cell_angle_beta 90.00
_cell_angle_gamma 90.00
_space_group_name_H-M_alt 'P m -3 m'
_space_group_IT_number 221
_space_group_name_Hall '-P 4 2 3'
loop_
_atom_site_label
_atom_site_type_symbol
_atom_site_fract_x
_atom_site_fract_y
_atom_site_fract_z
Ge1 Ge 0.000 0.000 0.000
W1 W 0.500 0.500 0.500
C1 C 0.000 0.000 0.500
```

***

8.
Ge3WC | PBE | relaxed

The structure in CIF format:
```
data_Ge3WC
_cell_length_a 4.224
_cell_length_b 4.224
_cell_length_c 4.224
_cell_angle_alpha 90.00
_cell_angle_beta 90.00
_cell_angle_gamma 90.00
_space_group_name_H-M_alt 'P m -3 m'
_space_group_IT_number 221
_space_group_name_Hall '-P 4 2 3'
loop_
_atom_site_label
_atom_site_type_symbol
_atom_site_fract_x
_atom_site_fract_y
_atom_site_fract_z
Ge1 Ge 0.000 0.000 0.500
W1 W 0.500 0.500 0.500
C1 C 0.000 0.000 0.000
```

***

| no. | calculated formation energy (eV per atom) |
| --- | --- |
| 1 | -0.086 |
| 2 | -0.250 |
| 3 | -0.276 |
| 4 | -0.418 |
| 5 | -0.684 |
| 6 | 1.864 |
| 7 | 2.794 |
| 8 | 1.371 |